(1)
A plane-wave DFT calculation with PBE-GGA was carried out for an optimized crystal structure of CaYZr2.

Properties
* uncorrected energy: -49.81 eV per cell
* energy relative to the lowest polymorph listed for this composition: 0.000 eV/atom
* ΔE_f: 0.164 eV/atom

a b c (Å): 4.5692 4.8178 10.5245
angles (deg): 90.00 90.00 90.00
Space group Cmm2 (No. 35)
Inequivalent atoms, fractional coordinates:
Ca1 0.0000 0.0000 0.0000 [2 per cell]
Y1 0.0000 0.5000 0.7014 [2 per cell]
Zr1 0.0000 0.0000 0.4696 [2 per cell]
Zr2 0.0000 0.5000 0.2732 [2 per cell]


(2)
A plane-wave DFT calculation with PBE-GGA was carried out for an optimized crystal structure of Pm5Nd5Ge6.

Properties
* uncorrected energy: -173.47 eV per cell
* ΔE_f: -0.715 eV/atom

a b c (Å): 6.7037 15.2752 8.8089
angles (deg): 90.00 90.00 90.00
Space group Amm2 (No. 38)
Inequivalent atoms, fractional coordinates:
Pm1 0.0000 0.0000 0.0000 [2 per cell]
Pm2 0.0000 0.1226 0.6332 [4 per cell]
Pm3 0.5000 0.1224 0.8778 [4 per cell]
Nd1 0.2499 0.1667 0.2555 [8 per cell]
Nd2 0.5000 0.0000 0.5113 [2 per cell]
Ge1 0.0000 0.0000 0.3639 [2 per cell]
Ge2 0.0000 0.1959 0.9515 [4 per cell]
Ge3 0.5000 0.0000 0.1466 [2 per cell]
Ge4 0.5000 0.1966 0.5597 [4 per cell]


(3)
A plane-wave DFT calculation with PBE-GGA was carried out for an optimized crystal structure of Re2AgSb.

Properties
* raw formation energy: 0.77 eV/atom
* uncorrected energy: -57.56 eV per cell

a b c (Å): 4.1590 4.1590 7.8107
angles (deg): 90.00 90.00 90.00
Space group I-4m2 (No. 119)
Inequivalent atoms, fractional coordinates:
Re1 0.0000 0.0000 0.0000 [2 per cell]
Re2 0.0000 0.5000 0.2500 [2 per cell]
Ag1 0.0000 0.0000 0.5000 [2 per cell]
Sb1 0.0000 0.5000 0.7500 [2 per cell]


(4)
A plane-wave DFT calculation with PBE-GGA was carried out for an optimized crystal structure of NiSb2Rh.

Properties
* raw formation energy: 0.38 eV/atom
* uncorrected energy: -79.41 eV per cell

a b c (Å): 6.6721 6.6721 6.6721
angles (deg): 90.00 90.00 90.00
Space group F-43m (No. 216)
Inequivalent atoms, fractional coordinates:
Ni1 0.0000 0.0000 0.0000 [4 per cell]
Sb1 0.0000 0.0000 0.5000 [4 per cell]
Sb2 0.2500 0.2500 0.7500 [4 per cell]
Rh1 0.2500 0.2500 0.2500 [4 per cell]


(5)
A plane-wave DFT calculation with PBE-GGA was carried out for an optimized crystal structure of BaZnCd8Ag2.

Properties
* uncorrected energy: -33.10 eV per cell
* ΔE_f: -0.027 eV/atom

a b c (Å): 8.8280 5.9650 11.2445
angles (deg): 90.00 90.44 90.00
Space group C2/m (No. 12)
Inequivalent atoms, fractional coordinates:
Ba1 0.0000 0.0000 0.0000 [2 per cell]
Zn1 0.0000 0.0000 0.5000 [2 per cell]
Cd1 0.0824 0.2497 0.3020 [8 per cell]
Cd2 0.1447 0.5000 0.0840 [4 per cell]
Cd3 0.1681 0.5000 0.5410 [4 per cell]
Ag1 0.1743 0.5000 0.8238 [4 per cell]


(6)
A plane-wave DFT calculation with PBE-GGA was carried out for an optimized crystal structure of Ac6NdCd2.

Properties
* uncorrected energy: -64.51 eV per cell
* ΔE_f: -0.112 eV/atom

a b c (Å): 13.8782 4.0647 13.1099
angles (deg): 90.00 108.38 90.00
Space group C2/m (No. 12)
Inequivalent atoms, fractional coordinates:
Ac1 0.0273 0.0000 0.3314 [4 per cell]
Ac2 0.1809 0.5000 0.8781 [4 per cell]
Ac3 0.1863 0.5000 0.5914 [4 per cell]
Nd1 0.0000 0.0000 0.0000 [2 per cell]
Cd1 0.1441 0.5000 0.1893 [4 per cell]


Number 1: DOS(E_F) 14.02 states/eV/cell. Number 2: DOS(E_F) 29.14 states/eV/cell. Number 3: DOS(E_F) 6.80 states/eV/cell. Number 4: DOS(E_F) 24.19 states/eV/cell. Number 5: DOS(E_F) 8.14 states/eV/cell. Number 6: DOS(E_F) 20.11 states/eV/cell.